Crystalline W2SeBr at its relaxed geometry, computed with PBE-GGA.

Raw formation energy   1108 meV per atom
Symmetry   No. 12

Cell: 5.3340 5.3340 2.8657 Å, 99.01 99.01 112.06°
With the nearest neighbours (Å) after each atom.
Element x y z (fractional)
W 0.0000 0.5000 0.0000  2 Br 2.67, 2 Se 2.67, 4 W 2.87-2.98
W 0.5000 0.0000 0.0000  2 Br 2.67, 2 Se 2.67, 4 W 2.87-2.98
Se 0.0000 0.0000 0.0000  4 W 2.67, 2 Se 2.87, 2 Br 2.98
Br 0.5000 0.5000 0.0000  4 W 2.67, 2 Br 2.87, 2 Se 2.98